Entry 1:
The following is a SCAN calculation of a crystal of BaGa2Sb2 relaxed with PBEsol, from Alexandria via LeMat-Bulk.

Summary:
E_form (uncorrected): -2.40 eV per formula unit
E_tot: -29.83 eV per atom
calculated volume: 26.9 Å³ per atom

a b c (Å): 5.265 5.265 9.706
angles (deg): 90.00 90.00 90.00
Space group I4/mmm (No. 139)
Unique sites:
Ba 0.000 0.000 0.000
Ga 0.000 0.000 0.367
Sb 0.000 0.500 0.250

Entry 2:
The following is a SCAN calculation of a crystal of TcNiRu relaxed with PBEsol, from Alexandria via LeMat-Bulk.

Summary:
distance to the lowest polymorph of the same formula: 0 meV per atom
E_tot: -28.67 eV per atom
calculated volume: 12.6 Å³ per atom
E_form: 0.019 eV per atom

a b c (Å): 2.637 3.694 7.760
angles (deg): 90.00 90.00 90.00
Space group Imm2 (No. 44)
Unique sites:
Tc 0.000 0.000 0.000
Ni 0.000 0.000 0.665
Ru 0.000 0.000 0.331

Entry 3:
The following is a SCAN calculation of a crystal of SrLaB12 relaxed with PBEsol, from Alexandria via LeMat-Bulk.

Summary:
E_tot: -11.62 eV per atom
calculated volume: 10.2 Å³ per atom
E_form: -0.586 eV per atom

a b c (Å): 4.148 4.148 8.310
angles (deg): 90.00 90.00 90.00
Space group P4/mmm (No. 123)
Unique sites:
Sr 0.000 0.000 0.000
La 0.000 0.000 0.500
B 0.201 0.500 0.251
B 0.500 0.500 0.101
B 0.500 0.500 0.400

Entry 4:
The following is a SCAN calculation of a crystal of Fe2TeW relaxed with PBEsol, from Alexandria via LeMat-Bulk.

Summary:
E_form (uncorrected): 2.26 eV per formula unit
E_tot: -35.23 eV per atom
calculated volume: 14.4 Å³ per atom

a b c (Å): 3.065 4.314 4.357
angles (deg): 90.00 90.00 90.00
Space group Pmm2 (No. 25)
Unique sites:
Fe 0.000 0.000 0.000
Fe 0.000 0.500 0.298
Te 0.500 0.500 0.843
W 0.500 0.000 0.458

Entry 5:
The following is a SCAN calculation of a crystal of ZrZn2Ru relaxed with PBEsol, from Alexandria via LeMat-Bulk.

Summary:
E_tot: -23.51 eV per atom
calculated volume: 15.2 Å³ per atom
E_form: -0.374 eV per atom

a b c (Å): 3.858 3.858 8.167
angles (deg): 90.00 90.00 90.00
Space group I4/mmm (No. 139)
Unique sites:
Zr 0.000 0.000 0.000
Zn 0.000 0.500 0.250
Ru 0.000 0.000 0.500

Entry 6:
The following is a SCAN calculation of a crystal of CaAg2Au relaxed with PBEsol, from Alexandria via LeMat-Bulk.

Summary:
E_tot: -35.78 eV per atom
calculated volume: 19.0 Å³ per atom
E_form: -0.387 eV per atom

a b c (Å): 4.200 4.200 8.615
angles (deg): 90.00 90.00 90.00
Space group I4/mmm (No. 139)
Unique sites:
Ca 0.000 0.000 0.000
Ag 0.000 0.500 0.250
Au 0.000 0.000 0.500

Entry 7:
The following is a SCAN calculation of a crystal of MnFe2Rh relaxed with PBEsol, from Alexandria via LeMat-Bulk.

Summary:
E_tot: -22.14 eV per atom
calculated volume: 11.5 Å³ per atom
E_form: -0.070 eV per atom

a b c (Å): 2.541 3.559 5.082
angles (deg): 90.00 90.00 90.00
Space group Pmmm (No. 47)
Unique sites:
Mn 0.000 0.000 0.000
Fe 0.500 0.500 0.237
Rh 0.000 0.000 0.500

Entry 8:
The following is a SCAN calculation of a crystal of ZrCr2Te relaxed with PBEsol, from Alexandria via LeMat-Bulk.

Summary:
E_form (uncorrected): 0.98 eV per formula unit
E_tot: -25.94 eV per atom
calculated volume: 16.5 Å³ per atom

a b c (Å): 3.085 3.085 6.925
angles (deg): 90.00 90.00 90.00
Space group P4mm (No. 99)
Unique sites:
Zr 0.000 0.000 0.000
Cr 0.000 0.000 0.430
Cr 0.500 0.500 0.257
Te 0.500 0.500 0.664